Here is RbZrRh2 after structural relaxation from Alexandria. Energies are from PBE.

## Properties
For the energy of formation from the pure elements, the calculation gives 0.4656 eV per atom. The energy above the most stable polymorph in this dataset is 0.008 eV per atom. The value obtained for the final energy is -5.59 eV per atom.

Cell: 7.6192 7.6192 6.3021 Å, 52.81 52.81 90.00°
Atoms (fractional coordinates):
Zr: 0.7500 0.2500 0.5000
Rh: 0.0735 0.6250 0.2500
Rh: 0.8750 0.9265 0.7500
Rb: 0.2500 0.7500 0.5000
Rh: 0.6765 0.1250 0.2500
Rh: 0.3750 0.3235 0.7500
Zr: 0.0000 0.0000 0.0000
Rb: 0.5000 0.5000 0.0000